No. 1
A plane-wave DFT calculation with GGA-PBE was carried out for a relaxed Th2Si3Pt crystal.

CIF file:
```
data_Th2Si3Pt
_chemical_formula_sum 'Th2 Si3 Pt1'
_cell_length_a 4.187
_cell_length_b 4.215
_cell_length_c 7.107
_cell_angle_alpha 90.00
_cell_angle_beta 90.00
_cell_angle_gamma 90.00
_symmetry_space_group_name_H-M 'P m m 2'
_symmetry_Int_Tables_number 25
_symmetry_space_group_name_Hall 'P 2 -2'
loop_
_atom_site_label
_atom_site_fract_x
_atom_site_fract_y
_atom_site_fract_z
Th1 0.000 0.000 0.000
Th2 0.000 0.500 0.491
Si1 0.500 0.000 0.327
Si2 0.500 0.000 0.661
Si3 0.500 0.500 0.165
Pt1 0.500 0.500 0.830
```

Results
As for the raw total energy: -7.164 eV/atom. The calculation puts the density of states at the Fermi level at 0.47 states/eV/atom. For the formation energy without anion corrections, the calculation gives -0.9725 eV per atom. As for the total magnetization: 0.000 μB per atom. The value obtained for the calculated density is 9.84 g cm⁻³.

No. 2
A plane-wave DFT calculation with GGA-PBE was carried out for a relaxed GePd2Pt2 crystal.

CIF file:
```
data_GePd2Pt2
_chemical_formula_sum 'Ge2 Pd4 Pt4'
_cell_length_a 6.416
_cell_length_b 6.416
_cell_length_c 4.036
_cell_angle_alpha 90.00
_cell_angle_beta 90.00
_cell_angle_gamma 90.00
_symmetry_space_group_name_H-M 'P 4/m b m'
_symmetry_Int_Tables_number 127
_symmetry_space_group_name_Hall '-P 4 2ab'
loop_
_atom_site_label
_atom_site_fract_x
_atom_site_fract_y
_atom_site_fract_z
Ge1 0.000 0.000 0.000
Pd1 0.148 0.352 0.000
Pt1 0.154 0.654 0.500
```

Results
As for the raw total energy: -5.412 eV/atom. The calculation puts the density of states at the Fermi level at 0.83 states/eV/atom. As for the energy of formation from the pure elements: 0.005 eV per atom. As for the total magnetization: 0.000 μB per atom. The value obtained for the calculated density is 13.50 g cm⁻³. The value obtained for the offset from the most stable computed form is 172.5 meV per atom.

No. 3
A plane-wave DFT calculation with GGA-PBE was carried out for a relaxed Pm4SmY2 crystal.

CIF file:
```
data_Pm4SmY2
_chemical_formula_sum 'Pm16 Sm4 Y8'
_cell_length_a 6.892
_cell_length_b 11.458
_cell_length_c 12.238
_cell_angle_alpha 90.00
_cell_angle_beta 90.00
_cell_angle_gamma 90.00
_symmetry_space_group_name_H-M 'I m m a'
_symmetry_Int_Tables_number 74
_symmetry_space_group_name_Hall '-I 2b 2'
loop_
_atom_site_label
_atom_site_fract_x
_atom_site_fract_y
_atom_site_fract_z
Pm1 0.000 0.003 0.145
Pm2 0.220 0.250 0.992
Sm1 0.250 0.250 0.250
Y1 0.000 0.000 0.500
Y2 0.000 0.250 0.719
```

Results
As for the raw total energy: -4.986 eV/atom. The calculation puts the density of states at the Fermi level at 1.59 states/eV/atom. As for the energy of formation from the pure elements: 0.249 eV per atom. As for the total magnetization: 0.000 μB per atom. The value obtained for the calculated density is 6.24 g cm⁻³. The value obtained for the offset from the most stable computed form is 194.0 meV per atom.